Below is an optimized crystal structure of Tb5As4H, with properties calculated at the PBE level.

The structure in CIF format:
```
data_Tb5As4H
_chemical_formula_sum 'Tb10 As8 H2'
_space_group_name_H-M_alt 'I 4'
_space_group_IT_number 79
_cell_length_a 9.1295
_cell_length_b 9.1295
_cell_length_c 5.7834
_cell_angle_alpha 90.00
_cell_angle_beta 90.00
_cell_angle_gamma 90.00
loop_
_space_group_symop_operation_xyz
'x,y,z'
'-y,x,z'
'-x,-y,z'
'y,-x,z'
'x+1/2,y+1/2,z+1/2'
'-y+1/2,x+1/2,z+1/2'
'-x+1/2,-y+1/2,z+1/2'
'y+1/2,-x+1/2,z+1/2'
loop_
_atom_site_label
_atom_site_type_symbol
_atom_site_fract_x
_atom_site_fract_y
_atom_site_fract_z
_atom_site_occupancy
Tb1 Tb 0.0000 0.0000 0.0000 1
Tb2 Tb 0.1044 0.6928 0.5430 1
As1 As 0.1001 0.7024 0.0428 1
H1 H 0.0000 0.0000 0.5930 1
```

Output
energy: -5.77 eV/atom
total magnetic moment: 0.000 μB per atom